Material: YTeBr6
Method: DFT, PBE
State: relaxed

Its calculated volume is 284.6 Å³ per cell. Its raw formation energy is -0.954 eV per atom. The total DFT energy (no corrections) comes out at -27.28 eV per formula unit. Its space-group type is P-1 (2).

Geometry as CIF:
```
data_YTeBr6
_space_group_name_H-M_alt 'P 1'
_space_group_IT_number 1
_cell_length_a 6.8470
_cell_length_b 7.1782
_cell_length_c 7.4627
_cell_angle_alpha 63.25
_cell_angle_beta 89.88
_cell_angle_gamma 63.73
loop_
_space_group_symop_operation_xyz
'x,y,z'
loop_
_atom_site_label
_atom_site_type_symbol
_atom_site_fract_x
_atom_site_fract_y
_atom_site_fract_z
_atom_site_occupancy
Y1 Y 0.0000 0.0000 0.0000 1
Te1 Te 0.5000 0.0000 0.5000 1
Br1 Br 0.0535 0.5525 0.2262 1
Br2 Br 0.2635 0.8164 0.7566 1
Br3 Br 0.4219 0.8273 0.2632 1
Br4 Br 0.5781 0.1727 0.7368 1
Br5 Br 0.7365 0.1836 0.2434 1
Br6 Br 0.9465 0.4475 0.7738 1
```